20
Lattice="4.971 0.000 0.000 0.000 5.205 0.000 0.000 0.000 7.258" Properties=species:S:1:pos:R:3 comment="MgVO3 GGA-PBEsol optimized geometry" formation_energy_uncorrected_ev_per_fu=-12.6 rho_kg_m3=4360 space_group="Pnma (62)" magnetic_moment_mub_per_cell=3.97 e_tot_ev_per_atom=-7.932 vol_a3_per_fu=46.9 pbc="T T T"
O 1.555 1.590 6.799
O 1.555 1.590 4.088
O 3.103 4.964 5.443
O 0.931 4.192 4.088
O 4.040 1.012 0.459
O 0.617 2.843 1.814
O 4.354 2.361 5.443
O 1.868 0.241 1.814
O 3.416 3.614 3.170
O 4.040 1.012 3.170
O 3.416 3.614 0.459
O 0.931 4.192 6.799
Mg 0.086 0.334 5.443
Mg 2.400 2.936 5.443
Mg 2.571 2.268 1.814
Mg 4.885 4.870 1.814
V 0.000 2.602 0.000
V 2.486 0.000 0.000
V 0.000 2.602 3.629
V 2.486 0.000 3.629